Entry 1:
Entry from Alexandria: crystalline YNbSi2 at its relaxed geometry (PBEsol).

a = 4.6542 Å, b = 4.6542 Å, c = 4.6542 Å
α = 60.00°, β = 60.00°, γ = 60.00°
Last column: nearest neighbours and their distance in Å.
Element x y z (fractional)
Y 0.0000 0.0000 0.0000  8 Si 2.85
Nb 0.5000 0.5000 0.5000  8 Si 2.85
Si 0.7500 0.7500 0.7500  4 Y 2.85, 4 Nb 2.85
Si 0.2500 0.2500 0.2500  4 Nb 2.85, 4 Y 2.85

## Properties
DOS(E_F) (states/eV per cell): 6.2
Formation energy (no corrections) (eV/atom): -0.23
E (eV/atom): -7.5138

***

Entry 2:
Entry from Alexandria: crystalline Na5V2PC4O16 at its relaxed geometry (PBEsol).

a = 9.7242 Å, b = 9.7242 Å, c = 9.8423 Å
α = 119.48°, β = 119.48°, γ = 90.22°
Last column: nearest neighbours and their distance in Å.
Element x y z (fractional)
C 0.8602 0.5366 0.0735  3 O 1.29-1.30
C 0.7868 0.9633 0.5735  3 O 1.29-1.30
C 0.7866 0.6102 0.5735  3 O 1.29-1.30
C 0.2133 0.5368 0.0735  3 O 1.29-1.30
C 0.7780 0.9554 0.9112  3 O 1.29-1.30
C 0.1332 0.9558 0.9112  3 O 1.29-1.30
C 0.2058 0.8832 0.4112  3 O 1.29-1.30
C 0.2054 0.5280 0.4112  3 O 1.29-1.30
O 0.5741 0.9400 0.1471  1 P 1.55
O 0.8072 0.1025 0.9445  1 C 1.30
O 0.5681 0.1976 0.3968  1 P 1.57
O 0.3525 0.5572 0.4445  1 C 1.30
O 0.6364 0.8409 0.7668  1 C 1.29
O 0.4476 0.3181 0.8968  1 P 1.57
O 0.1304 0.9259 0.7668  1 C 1.29
O 0.3508 0.8852 0.5247  1 C 1.29
O 0.9024 0.1066 0.7156  1 C 1.30
O 0.4492 0.5786 0.8968  1 P 1.57
O 0.8569 0.6525 0.0438  1 C 1.29
O 0.0920 0.8873 0.4445  1 C 1.30
O 0.0909 0.3864 0.2668  1 C 1.29
O 0.3566 0.6524 0.2156  1 C 1.30
O 0.1352 0.1008 0.0247  1 C 1.29
O 0.9025 0.6069 0.5438  1 C 1.29
O 0.6413 0.9369 0.5438  1 C 1.29
O 0.8614 0.3933 0.9596  1 C 1.29
O 0.5730 0.2071 0.1471  1 P 1.55
O 0.6433 0.6114 0.4596  1 C 1.29
O 0.8590 0.5632 0.2156  1 C 1.30
O 0.1739 0.6395 0.5247  1 C 1.29
O 0.8163 0.8483 0.4596  1 C 1.29
O 0.1373 0.8420 0.9445  1 C 1.30
O 0.8895 0.9239 0.0247  1 C 1.29
O 0.8132 0.6090 0.7156  1 C 1.30
O 0.0983 0.5663 0.9596  1 C 1.29
O 0.1869 0.3913 0.0438  1 C 1.29
O 0.1900 0.3241 0.6471  1 P 1.55
O 0.4571 0.3230 0.6471  1 P 1.55
O 0.1759 0.8804 0.2668  1 C 1.29
O 0.8286 0.1992 0.3968  1 P 1.57
Na 0.1873 0.1650 0.7610  3 O 2.26-2.42
Na 0.5737 0.5960 0.7610  3 O 2.26-2.42
Na 0.4132 0.3210 0.2612  4 O 2.26-2.48
Na 0.4150 0.9373 0.2610  3 O 2.26-2.42
Na 0.5710 0.1632 0.7612  4 O 2.26-2.48
Na 0.8460 0.3237 0.2610  3 O 2.26-2.42
Na 0.1902 0.5981 0.7612  4 O 2.26-2.48
Na 0.8481 0.9402 0.2612  4 O 2.26-2.48
Na 0.5831 0.5831 0.1662  6 O 2.28-2.51
Na 0.8331 0.3331 0.6662  6 O 2.28-2.51
V 0.9998 0.7468 0.4948  6 O 1.96-2.02
V 0.9968 0.7498 0.9948  6 O 1.96-2.02
V 0.4951 0.7480 0.4948  6 O 1.96-2.02
V 0.9980 0.2451 0.9948  6 O 1.96-2.02
P 0.3831 0.3831 0.7663  4 O 1.55-1.57
P 0.6331 0.1331 0.2663  4 O 1.55-1.57

## Properties
DOS(E_F) (states/eV per cell): 33.6
Formation energy (no corrections) (eV/atom): -1.78
E (eV/atom): -7.3006

***

Entry 3:
Entry from Alexandria: crystalline KB6 at its relaxed geometry (PBEsol).

a = 4.2040 Å, b = 4.2040 Å, c = 4.2040 Å
α = 90.00°, β = 90.00°, γ = 90.00°
Last column: nearest neighbours and their distance in Å.
Element x y z (fractional)
B 0.6989 0.0000 0.0000  5 B 1.67-1.79
B 0.0000 0.6989 0.0000  5 B 1.67-1.79
B 0.0000 0.3011 0.0000  5 B 1.67-1.79
B 0.0000 0.0000 0.6989  5 B 1.67-1.79
B 0.3011 0.0000 0.0000  5 B 1.67-1.79
B 0.0000 0.0000 0.3011  5 B 1.67-1.79
K 0.5000 0.5000 0.5000  24 B 3.09

## Properties
Formation energy (eV per formula unit): -0.16
DOS(E_F) (states/eV per cell): 1.8
E (eV/atom): -6.1990

***

Entry 4:
Entry from Alexandria: crystalline MgTi3C at its relaxed geometry (PBEsol).

a = 4.5744 Å, b = 4.5744 Å, c = 4.5744 Å
α = 90.00°, β = 90.00°, γ = 90.00°
Last column: nearest neighbours and their distance in Å.
Element x y z (fractional)
Ti 0.0000 0.5000 0.0000  2 Mg 2.29
Ti 0.0000 0.0000 0.5000  2 Mg 2.29
Ti 0.5000 0.0000 0.0000  2 Mg 2.29
Mg 0.0000 0.0000 0.0000  6 Ti 2.29
C 0.5000 0.5000 0.5000  12 Ti 3.23

## Properties
Formation energy (eV per formula unit): 12.36
DOS(E_F) (states/eV per cell): 6.1
E (eV/atom): -4.7928

***

Entry 5:
Entry from Alexandria: crystalline FeCu2Pt at its relaxed geometry (PBEsol).

a = 4.1358 Å, b = 4.1358 Å, c = 4.1358 Å
α = 60.00°, β = 60.00°, γ = 60.00°
Last column: nearest neighbours and their distance in Å.
Element x y z (fractional)
Cu 0.0000 0.0000 0.0000  4 Pt 2.53, 4 Cu 2.53
Cu 0.7500 0.7500 0.7500  4 Fe 2.53, 4 Cu 2.53
Fe 0.5000 0.5000 0.5000  4 Cu 2.53, 4 Pt 2.53
Pt 0.2500 0.2500 0.2500  4 Cu 2.53, 4 Fe 2.53

## Properties
Formation energy (eV per formula unit): 0.05
DOS(E_F) (states/eV per cell): 3.9
E (eV/atom): -6.1354

***

Entry 6:
Entry from Alexandria: crystalline Zr2TaTc at its relaxed geometry (PBEsol).

a = 2.9371 Å, b = 2.9371 Å, c = 9.3854 Å
α = 90.00°, β = 90.00°, γ = 112.97°
Last column: nearest neighbours and their distance in Å.
Element x y z (fractional)
Ta 0.0000 0.0000 0.4732  2 Tc 2.58
Tc 0.5000 0.5000 0.2600  2 Ta 2.58, 2 Zr 2.70
Zr 0.0000 0.0000 0.0301  2 Tc 2.70, 4 Zr 2.94
Zr 0.5000 0.5000 0.7367  8 Zr 2.94-3.24, 2 Ta 2.96

## Properties
Formation energy (eV per formula unit): -0.11
DOS(E_F) (states/eV per cell): 4.6
E (eV/atom): -10.5260

***

Entry 7:
Entry from Alexandria: crystalline LaTl2InSi at its relaxed geometry (PBEsol).

a = 5.0829 Å, b = 5.4663 Å, c = 5.4663 Å
α = 90.00°, β = 90.00°, γ = 90.00°
Last column: nearest neighbours and their distance in Å.
Element x y z (fractional)
La 0.5000 0.5000 0.5000  8 Tl 3.73, 4 Si 3.87
Tl 0.0000 0.0000 0.5000  2 In 2.73
Tl 0.0000 0.5000 0.0000  2 In 2.73
In 0.0000 0.0000 0.0000  2 Si 2.54, 4 Tl 2.73
Si 0.5000 0.0000 0.0000  2 In 2.54

## Properties
DOS(E_F) (states/eV per cell): 3.2
Formation energy (no corrections) (eV/atom): 0.37
E (eV/atom): -3.5010

***

Entry 8:
Entry from Alexandria: crystalline Tb2B6Ru at its relaxed geometry (PBEsol).

a = 3.6870 Å, b = 9.1812 Å, c = 11.5455 Å
α = 90.00°, β = 90.00°, γ = 90.00°
Last column: nearest neighbours and their distance in Å.
Element x y z (fractional)
B 0.5000 0.8674 0.6854  3 B 1.73-1.79
B 0.5000 0.5542 0.4325  3 B 1.78-1.85
B 0.5000 0.7096 0.7671  3 B 1.73-1.89
B 0.5000 0.3674 0.8146  3 B 1.73-1.79
B 0.5000 0.1121 0.4692  2 B 1.79-1.82
B 0.5000 0.3879 0.9692  2 B 1.79-1.82
B 0.5000 0.6326 0.1854  3 B 1.73-1.79
B 0.5000 0.2474 0.0801  3 B 1.78-1.82
B 0.5000 0.9458 0.9325  3 B 1.78-1.85
B 0.5000 0.1326 0.3146  3 B 1.73-1.79
B 0.5000 0.7526 0.9199  3 B 1.78-1.82
B 0.5000 0.0542 0.0675  3 B 1.78-1.85
B 0.5000 0.7904 0.2671  3 B 1.73-1.89
B 0.5000 0.9849 0.2130  3 B 1.79-1.89
B 0.5000 0.8879 0.5308  2 B 1.79-1.82
B 0.5000 0.2904 0.2329  3 B 1.73-1.89
B 0.5000 0.0151 0.7870  3 B 1.79-1.89
B 0.5000 0.4458 0.5675  3 B 1.78-1.85
B 0.5000 0.2096 0.7329  3 B 1.73-1.89
B 0.5000 0.4849 0.2870  3 B 1.79-1.89
B 0.5000 0.2526 0.5801  3 B 1.78-1.82
B 0.5000 0.6121 0.0308  2 B 1.79-1.82
B 0.5000 0.5151 0.7130  3 B 1.79-1.89
B 0.5000 0.7474 0.4199  3 B 1.78-1.82
Tb 0.0000 0.1769 0.9139  14 B 2.74-2.82
Tb 0.0000 0.8231 0.0861  14 B 2.74-2.82
Tb 0.0000 0.0559 0.6274  12 B 2.62-2.65, 2 Ru 2.86-2.87
Tb 0.0000 0.6769 0.5861  14 B 2.74-2.82
Tb 0.0000 0.9441 0.3726  12 B 2.62-2.65, 2 Ru 2.86-2.87
Tb 0.0000 0.4441 0.1274  12 B 2.62-2.65, 2 Ru 2.86-2.87
Tb 0.0000 0.3231 0.4139  14 B 2.74-2.82
Tb 0.0000 0.5559 0.8726  12 B 2.62-2.65, 2 Ru 2.86-2.87
Ru 0.0000 0.3618 0.6788  10 B 2.35-2.42
Ru 0.0000 0.6382 0.3212  10 B 2.35-2.42
Ru 0.0000 0.1382 0.1788  10 B 2.35-2.42
Ru 0.0000 0.8618 0.8212  10 B 2.35-2.42

## Properties
Formation energy (eV per formula unit): -6.46
DOS(E_F) (states/eV per cell): 3.5
E (eV/atom): -7.6395

***

Entry 9:
Entry from Alexandria: crystalline LiReNi2 at its relaxed geometry (PBEsol).

a = 2.5214 Å, b = 4.1993 Å, c = 4.4248 Å
α = 90.00°, β = 90.01°, γ = 90.00°
Last column: nearest neighbours and their distance in Å.
Element x y z (fractional)
Ni 0.8747 0.5000 0.3013  4 Li 2.47-2.63, 4 Ni 2.52-2.65, 4 Re 2.53
Ni 0.8746 0.0000 0.9354  4 Li 2.50, 4 Ni 2.52-2.65, 4 Re 2.52-2.57
Li 0.3756 0.5000 0.8217  8 Ni 2.47-2.63, 2 Li 2.52, 2 Re 2.69
Re 0.3751 0.0000 0.4416  2 Re 2.52, 8 Ni 2.52-2.57, 2 Li 2.69

## Properties
Formation energy (eV per formula unit): 0.08
DOS(E_F) (states/eV per cell): 3.2
E (eV/atom): -6.8837

***

Entry 10:
Entry from Alexandria: crystalline CsBeCu3 at its relaxed geometry (PBEsol).

a = 4.5194 Å, b = 4.5194 Å, c = 4.5194 Å
α = 90.00°, β = 90.00°, γ = 90.00°
Last column: nearest neighbours and their distance in Å.
Element x y z (fractional)
Cs 0.5000 0.5000 0.5000  12 Cu 3.20
Be 0.0000 0.0000 0.0000  6 Cu 2.26
Cu 0.0000 0.0000 0.5000  2 Be 2.26
Cu 0.5000 0.0000 0.0000  2 Be 2.26
Cu 0.0000 0.5000 0.0000  2 Be 2.26

## Properties
Formation energy (eV per formula unit): 3.53
DOS(E_F) (states/eV per cell): 1.5
E (eV/atom): -2.8833

***

The highest DOS(E_F) belongs to which entry? Na5V2PC4O16